VASP calculation (PBE-GGA) on an optimized crystal structure of Pm2YCu.

The structure belongs to space group Cmcm (No. 63); the cell edges are 4.929, 11.635 and 7.839 Å and the angles 90.00°, 90.00° and 90.00°. Symmetry generates all atoms from Pm at (0.000, 0.145, 0.033), Y at (0.000, 0.455, 0.250) and Cu at (0.000, 0.295, 0.750).

The calculation puts the final energy at -81.0 eV per cell. Its calculated formation energy is -45 meV per atom.

=====

VASP calculation (PBE-GGA) on an optimized crystal structure of Nd5ThHg4.

The structure belongs to space group P4/mmm (No. 123); the cell edges are 3.774, 3.774 and 20.473 Å and the angles 90.00°, 90.00° and 90.00°. Symmetry generates all atoms from Nd at (0.000, 0.000, 0.000), Nd at (0.000, 0.000, 0.191), Nd at (0.000, 0.000, 0.385), Th at (0.500, 0.500, 0.500), Hg at (0.500, 0.500, 0.095) and Hg at (0.500, 0.500, 0.288).

The calculation puts the final energy at -36.2 eV per cell. Its calculated formation energy is -371 meV per atom.

=====

VASP calculation (PBE-GGA) on an optimized crystal structure of TlAgPb2.

The structure belongs to space group Cmm2 (No. 35); the cell edges are 3.936, 5.450 and 10.419 Å and the angles 90.00°, 90.00° and 90.00°. Symmetry generates all atoms from Tl at (0.000, 0.000, 0.000), Ag at (0.000, 0.500, 0.779), Pb at (0.000, 0.000, 0.556) and Pb at (0.000, 0.500, 0.274).

The calculation puts the final energy at -24.3 eV per cell. Its calculated formation energy is 116 meV per atom.

=====

VASP calculation (PBE-GGA) on an optimized crystal structure of H3BrF3.

The structure belongs to space group R-3 (No. 148, hexagonal axes); the cell edges are 4.8713, 4.8713 and 28.6626 Å and the angles 90.00°, 90.00° and 120.00°. Symmetry generates all atoms from H at (0.0524, 0.5754, 0.4506), Br at (0.0000, 0.0000, 0.3336) and F at (0.0081, 0.3104, 0.7839).

The calculation puts the final energy at -156.5 eV per cell.

=====

VASP calculation (PBE-GGA) on an optimized crystal structure of K2CoAu.

The structure belongs to space group P4mm (No. 99); the cell edges are 3.606, 3.606 and 9.872 Å and the angles 90.00°, 90.00° and 90.00°. Symmetry generates all atoms from K at (0.000, 0.000, 0.000), K at (0.500, 0.500, 0.423), Co at (0.500, 0.500, 0.730) and Au at (0.000, 0.000, 0.679).

The calculation puts the final energy at -11.2 eV per cell. Its calculated formation energy is 355 meV per atom.

=====

VASP calculation (PBE-GGA) on an optimized crystal structure of SmPuTcAg.

The structure belongs to space group F-43m (No. 216); the cell edges are 7.094, 7.094 and 7.094 Å and the angles 90.00°, 90.00° and 90.00°. Symmetry generates all atoms from Sm at (0.000, 0.000, 0.000), Pu at (0.000, 0.000, 0.500), Tc at (0.250, 0.250, 0.250) and Ag at (0.250, 0.250, 0.750).

The calculation puts the final energy at -127.1 eV per cell. Its calculated formation energy is 120 meV per atom.

=====

VASP calculation (PBE-GGA) on an optimized crystal structure of Ce2ZnHg2.

The structure belongs to space group C2/m (No. 12); the cell edges are 10.853, 4.757 and 9.748 Å and the angles 90.00°, 105.30° and 90.00°. Symmetry generates all atoms from Ce at (0.051, 0.000, 0.380), Ce at (0.184, 0.000, 0.052), Zn at (0.245, 0.500, 0.286), Hg at (0.008, 0.500, 0.852) and Hg at (0.147, 0.500, 0.602).

The calculation puts the final energy at -60.4 eV per cell. Its calculated formation energy is -270 meV per atom.

=====

VASP calculation (PBE-GGA) on an optimized crystal structure of LaTa2IrC.

The structure belongs to space group P4/mmm (No. 123); the cell edges are 5.180, 5.180 and 3.878 Å and the angles 90.00°, 90.00° and 90.00°. Symmetry generates all atoms from La at (0.000, 0.000, 0.000), Ta at (0.000, 0.500, 0.500), Ir at (0.500, 0.500, 0.500) and C at (0.500, 0.500, 0.000).

The calculation puts the final energy at -41.5 eV per cell. Its calculated formation energy is 1037 meV per atom.

=====

It is found that the total magnetic moment values, taken in the order of the records, are 0.00; 1.11; 0.00; 0.00; 1.74; 18.34; 5.82; 0.00 μB/cell.